Density functional theory data (PBE-GGA) for a geometry-optimized LiAlC structure.

Values from the calculation:
size of the total moment = 0.000 μB per cell
E_form = 0.157 eV per atom
crystal system = orthorhombic

a b c (Å): 3.378 4.518 10.280
angles (deg): 90.00 90.00 90.00
Space group Imm2 (No. 44)
Inequivalent atoms, fractional coordinates:
Li 0.000 0.000 0.000 (multiplicity 2)
Li 0.000 0.500 0.210 (multiplicity 2)
Al 0.000 0.000 0.412 (multiplicity 2)
Al 0.000 0.500 0.716 (multiplicity 2)
C 0.000 0.155 0.596 (multiplicity 4)